# LuAs2O PBE optimized geometry
data_LuAs2O
_cell_length_a 3.732
_cell_length_b 3.732
_cell_length_c 10.656
_cell_angle_alpha 90.00
_cell_angle_beta 90.00
_cell_angle_gamma 90.00
_space_group_name_H-M_alt 'P 1'
_space_group_IT_number 1
loop_
_space_group_symop_operation_xyz
'x,y,z'
loop_
_atom_site_label
_atom_site_fract_x
_atom_site_fract_y
_atom_site_fract_z
Lu1 0.250 0.250 0.103
Lu2 0.750 0.750 0.897
As1 0.250 0.250 0.720
As2 0.250 0.750 0.500
As3 0.750 0.250 0.500
As4 0.750 0.750 0.280
O1 0.250 0.750 0.000
O2 0.750 0.250 0.000
# E above lowest polymorph (eV/f.u.): 0.00